[1]
Mg3BiI after structural relaxation. Source: Alexandria, functional PBEsol.

Cell: 5.4950 5.4950 5.4950 Å, 90.00 90.00 90.00°
Atoms (fractional coordinates):
Mg1 0.0000 0.5000 0.0000
Mg2 0.0000 0.0000 0.5000
Mg3 0.5000 0.0000 0.0000
Bi1 0.5000 0.5000 0.5000
I1 0.0000 0.0000 0.0000

The formation energy (no corrections) is 0.4269 eV/atom. The value obtained for the magnetic moment is 0.000 μB/f.u.


[2]
MgBiI2 after structural relaxation. Source: Alexandria, functional PBEsol.

Cell: 6.9960 6.9960 6.9960 Å, 105.17 105.17 118.47°
Atoms (fractional coordinates):
I1 0.1250 0.1717 0.5467
I2 0.4217 0.8750 0.0467
I3 0.8283 0.3750 0.9533
I4 0.6250 0.5783 0.4533
Mg1 0.7500 0.2500 0.5000
Mg2 0.5000 0.5000 0.0000
Bi1 0.0000 0.0000 0.0000
Bi2 0.2500 0.7500 0.5000

The formation energy (no corrections) is -0.1432 eV/atom. The value obtained for the magnetic moment is 0.001 μB/f.u.


[3]
MgTlBi2I after structural relaxation. Source: Alexandria, functional PBEsol.

Cell: 5.9374 5.9374 6.0338 Å, 90.00 90.00 90.00°
Atoms (fractional coordinates):
Mg1 0.5000 0.5000 0.5000
Bi1 0.0000 0.5000 0.0000
Bi2 0.5000 0.0000 0.0000
Tl1 0.0000 0.0000 0.5000
I1 0.0000 0.0000 0.0000

The formation energy (no corrections) is 0.7036 eV/atom. The value obtained for the magnetic moment is 0.001 μB/f.u.


[4]
Mn3BiI after structural relaxation. Source: Alexandria, functional PBEsol.

Cell: 4.8800 4.8800 4.8800 Å, 90.00 90.00 90.00°
Atoms (fractional coordinates):
Mn1 0.0000 0.0000 0.5000
Mn2 0.0000 0.5000 0.0000
Mn3 0.5000 0.0000 0.0000
I1 0.0000 0.0000 0.0000
Bi1 0.5000 0.5000 0.5000

The formation energy (no corrections) is 1.3427 eV/atom. The value obtained for the magnetic moment is 10.707 μB/f.u.


[5]
BiMoI2N after structural relaxation. Source: Alexandria, functional PBEsol.

Cell: 4.1135 6.1789 6.1789 Å, 90.00 90.00 90.00°
Atoms (fractional coordinates):
N1 0.5000 0.0000 0.0000
Mo1 0.5000 0.5000 0.5000
I1 0.0000 0.5000 0.0000
I2 0.0000 0.0000 0.5000
Bi1 0.0000 0.0000 0.0000

The formation energy (no corrections) is 1.4988 eV/atom. The value obtained for the magnetic moment is 4.899 μB/f.u.


[6]
BiTeMoI2 after structural relaxation. Source: Alexandria, functional PBEsol.

Cell: 5.9221 5.9221 5.9521 Å, 90.00 90.00 90.00°
Atoms (fractional coordinates):
I1 0.5000 0.0000 0.0000
I2 0.0000 0.5000 0.0000
Bi1 0.0000 0.0000 0.0000
Mo1 0.5000 0.5000 0.5000
Te1 0.0000 0.0000 0.5000

The formation energy (no corrections) is 1.1362 eV/atom. The value obtained for the magnetic moment is 4.957 μB/f.u.


[7]
BiIN2 after structural relaxation. Source: Alexandria, functional PBEsol.

Cell: 3.4320 3.4320 7.4123 Å, 76.61 76.61 60.00°
Atoms (fractional coordinates):
Bi1 0.0000 0.0000 0.0000
N1 0.8875 0.8875 0.3376
N2 0.1125 0.1125 0.6624
I1 0.5000 0.5000 0.5000

The formation energy (no corrections) is 1.3457 eV/atom. The value obtained for the magnetic moment is 0.000 μB/f.u.


[8]
BiINO2 after structural relaxation. Source: Alexandria, functional PBEsol.

Cell: 4.1640 4.1640 4.5611 Å, 90.00 90.00 90.00°
Atoms (fractional coordinates):
O1 0.5000 0.0000 0.0000
O2 0.0000 0.5000 0.0000
N1 0.0000 0.0000 0.5000
Bi1 0.0000 0.0000 0.0000
I1 0.5000 0.5000 0.5000

The formation energy (no corrections) is 0.5328 eV/atom. The value obtained for the magnetic moment is 0.004 μB/f.u.


[9]
BiPbI2N after structural relaxation. Source: Alexandria, functional PBEsol.

Cell: 4.0076 6.1743 6.1743 Å, 90.00 90.00 90.00°
Atoms (fractional coordinates):
Pb1 0.0000 0.0000 0.0000
I1 0.0000 0.0000 0.5000
I2 0.0000 0.5000 0.0000
N1 0.5000 0.0000 0.0000
Bi1 0.5000 0.5000 0.5000

The formation energy (no corrections) is 0.7861 eV/atom. The value obtained for the magnetic moment is 0.000 μB/f.u.


[10]
BiPtIN2 after structural relaxation. Source: Alexandria, functional PBEsol.

Cell: 4.1901 4.1901 5.3599 Å, 90.00 90.00 90.00°
Atoms (fractional coordinates):
Pt1 0.0000 0.0000 0.0000
N1 0.5000 0.0000 0.0000
N2 0.0000 0.5000 0.0000
I1 0.0000 0.0000 0.5000
Bi1 0.5000 0.5000 0.5000

The formation energy (no corrections) is 1.4257 eV/atom. The value obtained for the magnetic moment is 2.009 μB/f.u.


[11]
RbBiIN2 after structural relaxation. Source: Alexandria, functional PBEsol.

Cell: 4.6505 4.6505 6.4423 Å, 90.00 90.00 90.00°
Atoms (fractional coordinates):
N1 0.5000 0.0000 0.0000
N2 0.0000 0.5000 0.0000
Bi1 0.0000 0.0000 0.0000
Rb1 0.5000 0.5000 0.5000
I1 0.0000 0.0000 0.5000

The formation energy (no corrections) is 0.8703 eV/atom. The value obtained for the magnetic moment is 2.231 μB/f.u.


[12]
BiSIN2 after structural relaxation. Source: Alexandria, functional PBEsol.

Cell: 4.2050 4.2050 6.9949 Å, 90.00 90.00 90.00°
Atoms (fractional coordinates):
I1 0.0000 0.0000 0.5000
N1 0.5000 0.0000 0.0000
N2 0.0000 0.5000 0.0000
S1 0.5000 0.5000 0.5000
Bi1 0.0000 0.0000 0.0000

The formation energy (no corrections) is 1.6653 eV/atom. The value obtained for the magnetic moment is 1.802 μB/f.u.


Please write out number 3 again, unchanged.
MgTlBi2I after structural relaxation. Source: Alexandria, functional PBEsol.

Cell: 5.9374 5.9374 6.0338 Å, 90.00 90.00 90.00°
Atoms (fractional coordinates):
Mg1 0.5000 0.5000 0.5000
Bi1 0.0000 0.5000 0.0000
Bi2 0.5000 0.0000 0.0000
Tl1 0.0000 0.0000 0.5000
I1 0.0000 0.0000 0.0000

The formation energy (no corrections) is 0.7036 eV/atom. The value obtained for the magnetic moment is 0.001 μB/f.u.


- Look up the formation energy (no corrections) of the twelfth one.
  1.6653 eV/atom